Co2MoW: optimized geometry, PBE.

Results
For the formation energy, the calculation gives 0.1260 eV/atom. The electronic total energy is -9.3731 eV/atom. The spin magnetization is 0.000 μB/atom. The value obtained for the polymorph energy (0 for the lowest one) is 0.097 eV per atom. The value obtained for the calculated volume is 53.2 Å³ per cell.

```
Co2MoW
1.0
3.102 0.000 0.000
0.000 3.102 0.000
0.000 0.000 5.530
Co Mo W
2 1 1
direct
0.000 0.000 0.000
0.500 0.500 0.251
0.000 0.000 0.470
0.500 0.500 0.780
```